(1)
# PBE Sb2HWI, relaxed
data_Sb2HWI
_cell_length_a 5.1916
_cell_length_b 5.1916
_cell_length_c 5.9527
_cell_angle_alpha 90.00
_cell_angle_beta 90.00
_cell_angle_gamma 90.00
_symmetry_space_group_name_H-M 'P 1'
_symmetry_Int_Tables_number 1
_symmetry_space_group_name_Hall 'P 1'
loop_
_atom_site_label
_atom_site_type_symbol
_atom_site_fract_x
_atom_site_fract_y
_atom_site_fract_z
I1 I 0.0000 0.0000 0.5000
Sb1 Sb 0.0000 0.5000 0.0000
Sb2 Sb 0.5000 0.0000 0.0000
W1 W 0.0000 0.0000 0.0000
H1 H 0.5000 0.5000 0.5000
# DFT total energy, eV for the cell shown: -21.16
# Polymorph energy (0 for the lowest one), kJ/mol of atoms: 0.00

(2)
# PBE FeTeIr2, relaxed
data_FeTeIr2
_cell_length_a 5.2739
_cell_length_b 5.2739
_cell_length_c 7.2670
_cell_angle_alpha 68.72
_cell_angle_beta 68.72
_cell_angle_gamma 90.00
_symmetry_space_group_name_H-M 'P 1'
_symmetry_Int_Tables_number 1
_symmetry_space_group_name_Hall 'P 1'
loop_
_atom_site_label
_atom_site_type_symbol
_atom_site_fract_x
_atom_site_fract_y
_atom_site_fract_z
Ir1 Ir 0.5789 0.1250 0.2500
Ir2 Ir 0.1711 0.6250 0.2500
Ir3 Ir 0.3750 0.4211 0.7500
Ir4 Ir 0.8750 0.8289 0.7500
Te1 Te 0.0000 0.0000 0.0000
Te2 Te 0.7500 0.2500 0.5000
Fe1 Fe 0.5000 0.5000 0.0000
Fe2 Fe 0.2500 0.7500 0.5000
# Uncorrected formation energy, meV/atom: 713
# DFT total energy, eV for the cell shown: -52.95

(3)
# PBE La6In2RuO, relaxed
data_La6In2RuO
_cell_length_a 7.5630
_cell_length_b 7.5632
_cell_length_c 10.6914
_cell_angle_alpha 90.00
_cell_angle_beta 90.00
_cell_angle_gamma 90.00
_symmetry_space_group_name_H-M 'P 1'
_symmetry_Int_Tables_number 1
_symmetry_space_group_name_Hall 'P 1'
loop_
_atom_site_label
_atom_site_type_symbol
_atom_site_fract_x
_atom_site_fract_y
_atom_site_fract_z
La1 La 0.5000 0.2503 0.2595
La2 La 0.5000 0.2503 0.7405
La3 La 0.0000 0.7497 0.2405
La4 La 0.0000 0.7497 0.7595
La5 La 0.2588 0.0085 0.5000
La6 La 0.7412 0.0085 0.5000
La7 La 0.2587 0.4910 0.5000
La8 La 0.7413 0.4910 0.5000
La9 La 0.7587 0.5090 0.0000
La10 La 0.2413 0.5090 0.0000
La11 La 0.2412 0.9915 0.0000
La12 La 0.7588 0.9915 0.0000
In1 In 0.5000 0.7501 0.2500
In2 In 0.0000 0.2499 0.7500
In3 In 0.5000 0.7501 0.7500
In4 In 0.0000 0.2499 0.2500
Ru1 Ru 0.0000 0.7496 0.5000
Ru2 Ru 0.5000 0.2504 0.0000
O1 O 0.5000 0.2496 0.5000
O2 O 0.0000 0.7504 0.0000
# Uncorrected formation energy, meV/atom: -788
# DFT total energy, eV for the cell shown: -114.32

(4)
# PBE Pr8Cd3Os2, relaxed
data_Pr8Cd3Os2
_cell_length_a 5.0612
_cell_length_b 8.3538
_cell_length_c 9.9467
_cell_angle_alpha 114.83
_cell_angle_beta 92.67
_cell_angle_gamma 90.00
_symmetry_space_group_name_H-M 'P 1'
_symmetry_Int_Tables_number 1
_symmetry_space_group_name_Hall 'P 1'
loop_
_atom_site_label
_atom_site_type_symbol
_atom_site_fract_x
_atom_site_fract_y
_atom_site_fract_z
Pr1 Pr 0.2547 0.5706 0.1413
Pr2 Pr 0.7453 0.4294 0.8587
Pr3 Pr 0.2412 0.1648 0.3297
Pr4 Pr 0.7588 0.8352 0.6703
Pr5 Pr 0.2475 0.1103 0.6584
Pr6 Pr 0.2475 0.5482 0.6584
Pr7 Pr 0.7525 0.4518 0.3416
Pr8 Pr 0.7525 0.8897 0.3416
Cd1 Cd 0.5000 0.0000 0.0000
Cd2 Cd 0.0000 0.8216 0.0000
Cd3 Cd 0.0000 0.1784 0.0000
Os1 Os 0.7799 0.2726 0.5452
Os2 Os 0.2201 0.7274 0.4548
# Formation energy, eV/f.u.: -0.510
# DFT total energy, eV for the cell shown: -63.95

The highest DFT total energy belongs to which entry? Sb2HWI